Below is a relaxed structure of ZrCdHgO2, with properties calculated at the PBE level.

Calculated values
* ΔE_f (raw): 134 meV/atom

Unit cell a=4.251 b=5.223 c=4.251 alpha=90.00 beta=90.00 gamma=90.00
Positions (direct):
O 0.000 0.000 0.500
O 0.500 0.000 0.000
Hg 0.000 0.500 0.000
Zr 0.500 0.500 0.500
Cd 0.000 0.000 0.000



Below is a relaxed structure of La2DyEr, with properties calculated at the PBE level.

Calculated values
* energy above the most stable polymorph in this dataset: 61 meV/atom
* energy of formation: 0.33 eV/f.u.

Unit cell a=5.794 b=5.794 c=5.794 alpha=60.00 beta=60.00 gamma=60.00
Positions (direct):
Dy 0.000 0.000 0.000
La 0.250 0.250 0.250
La 0.750 0.750 0.750
Er 0.500 0.500 0.500



Below is a relaxed structure of La4MgFe, with properties calculated at the PBE level.

Calculated values
* energy above the most stable polymorph in this dataset: 0 meV/atom
* energy of formation: -0.04 eV/f.u.

Unit cell a=6.201 b=7.321 c=9.534 alpha=112.58 beta=108.01 gamma=90.00
Positions (direct):
La 0.778 0.307 0.614
La 0.615 0.361 0.225
La 0.000 0.250 0.000
La 0.385 0.135 0.775
La 0.222 0.693 0.386
La 0.385 0.639 0.775
La 0.000 0.750 0.000
La 0.615 0.865 0.225
Mg 0.183 0.193 0.386
Mg 0.817 0.807 0.614
Fe 0.639 0.460 0.921
Fe 0.361 0.540 0.079